Density functional theory data (PBE) for a relaxed PmMg4Ag crystal.

ΔE_f (meV per atom): -152.6
Total moment (μB per formula unit): 0.00
Space-group type: Pmma
Electronic total energy (eV/atom): -2.483

a b c (Å): 8.6961 4.3567 7.6357
angles (deg): 90.00 90.00 90.00
Element x y z (fractional)
Pm 0.2500 0.0000 0.1107
Pm 0.7500 0.0000 0.8893
Mg 0.0000 0.0000 0.5000
Mg 0.0557 0.5000 0.8088
Mg 0.2500 0.5000 0.4439
Mg 0.4443 0.5000 0.8088
Mg 0.5000 0.0000 0.5000
Mg 0.5557 0.5000 0.1912
Mg 0.7500 0.5000 0.5561
Mg 0.9443 0.5000 0.1912
Ag 0.2500 0.0000 0.7067
Ag 0.7500 0.0000 0.2933